Below is a relaxed VSiH2F crystal, with properties calculated at the GGA+U level.

Computed properties:
Its space-group type is P4/mmm. The calculation puts the total energy at -4.569 eV/atom.

The structure in extended XYZ format:
```
5
Lattice="3.309 0.000 0.000 0.000 3.309 0.000 0.000 0.000 5.437" Properties=species:S:1:pos:R:3 pbc="T T T"
V 0.000 0.000 0.000
Si 0.000 0.000 2.718
H 0.000 1.654 2.718
H 1.654 0.000 2.718
F 1.654 1.654 0.000
```